Entry 1:
A plane-wave DFT calculation with PBE was carried out for crystalline SmTm6Al2 at its relaxed geometry.

Summary:
E_form: -1.5 eV per formula unit
Energy above the lowest structure with this stoichiometry: 0 meV per atom
Fermi-level density of states: 21.92 states/eV/cell

abc: 12.365 3.628 11.644
angles: 90.00 108.13 90.00
Space group C2/m (No. 12)
One atom of each set of equivalent atoms:
Sm 0.000 0.000 0.000 [2 per cell]
Tm 0.019 0.000 0.336 [4 per cell]
Tm 0.189 0.500 0.874 [4 per cell]
Tm 0.190 0.500 0.586 [4 per cell]
Al 0.150 0.500 0.213 [4 per cell]



Entry 2:
A plane-wave DFT calculation with PBE was carried out for crystalline TbNd2Dy2Er at its relaxed geometry.

Summary:
E_form: 0.4 eV per formula unit
Fermi-level density of states: 18.51 states/eV/cell

abc: 7.023 5.657 9.801
angles: 90.00 90.00 90.00
Space group Pmma (No. 51)
One atom of each set of equivalent atoms:
Tb 0.250 0.000 0.158 [2 per cell]
Nd 0.000 0.000 0.500 [2 per cell]
Nd 0.250 0.500 0.677 [2 per cell]
Dy 0.250 0.000 0.831 [2 per cell]
Dy 0.250 0.500 0.336 [2 per cell]
Er 0.000 0.500 0.000 [2 per cell]



Entry 3:
A plane-wave DFT calculation with PBE was carried out for crystalline Sr2InAs at its relaxed geometry.

Summary:
E_form: -2.4 eV per formula unit
Energy above the lowest structure with this stoichiometry: 132 meV per atom
Fermi-level density of states: 2.08 states/eV/cell

abc: 5.079 5.094 9.349
angles: 90.00 90.00 90.00
Space group Immm (No. 71)
One atom of each set of equivalent atoms:
Sr 0.000 0.000 0.250 [4 per cell]
In 0.000 0.500 0.000 [2 per cell]
As 0.000 0.500 0.500 [2 per cell]



Entry 4:
A plane-wave DFT calculation with PBE was carried out for crystalline NdDy3Ho2 at its relaxed geometry.

Summary:
E_form: 0.0 eV per formula unit
Energy above the lowest structure with this stoichiometry: 0 meV per atom
Fermi-level density of states: 14.67 states/eV/cell

abc: 7.163 7.171 8.839
angles: 78.24 78.28 60.11
Space group P-1 (No. 2)
One atom of each set of equivalent atoms:
Nd 0.250 0.250 0.000 [2 per cell]
Dy 0.139 0.139 0.665 [2 per cell]
Dy 0.250 0.750 0.000 [2 per cell]
Dy 0.361 0.861 0.336 [2 per cell]
Ho 0.140 0.639 0.664 [2 per cell]
Ho 0.361 0.362 0.335 [2 per cell]